1.
The following is a DFT calculation (GGA-PBE) of crystalline SrY4Pt at its relaxed geometry.

Values from the calculation:
- Crystal system: cubic
- Formation energy from the elements: 2.36 eV per formula unit
- Electronic total energy: -31.22 eV per cell
- SG: F-43m, No. 216

a = 6.425 Å, b = 6.425 Å, c = 6.425 Å
α = 60.00°, β = 60.00°, γ = 60.00°
Sites, in units of the cell vectors:
1 Sr 0.000 0.000 0.000
2 Y 0.129 0.624 0.624
3 Y 0.624 0.129 0.624
4 Y 0.624 0.624 0.129
5 Y 0.624 0.624 0.624
6 Pt 0.250 0.250 0.250

2.
The following is a DFT calculation (GGA-PBE) of crystalline Sr2YPt at its relaxed geometry.

Values from the calculation:
- Crystal system: tetragonal
- Formation energy from the elements: -1.13 eV per formula unit
- Electronic total energy: -17.00 eV per cell
- SG: P4/mmm, No. 123

a = 3.723 Å, b = 3.723 Å, c = 9.634 Å
α = 90.00°, β = 90.00°, γ = 90.00°
Sites, in units of the cell vectors:
1 Sr 0.000 0.000 0.184
2 Sr 0.000 0.000 0.816
3 Y 0.500 0.500 0.500
4 Pt 0.500 0.500 0.000

3.
The following is a DFT calculation (GGA-PBE) of crystalline Sr2YPt at its relaxed geometry.

Values from the calculation:
- Crystal system: cubic
- Formation energy from the elements: -0.25 eV per formula unit
- Electronic total energy: -16.12 eV per cell
- SG: F-43m, No. 216

a = 5.446 Å, b = 5.446 Å, c = 5.446 Å
α = 60.00°, β = 60.00°, γ = 60.00°
Sites, in units of the cell vectors:
1 Sr 0.000 0.000 0.000
2 Sr 0.250 0.250 0.250
3 Y 0.750 0.750 0.750
4 Pt 0.500 0.500 0.500

4.
The following is a DFT calculation (GGA-PBE) of crystalline Sr2Y2Pt at its relaxed geometry.

Values from the calculation:
- Crystal system: tetragonal
- Formation energy from the elements: -1.16 eV per formula unit
- Electronic total energy: -46.98 eV per cell
- SG: P4/mbm, No. 127

a = 7.470 Å, b = 7.470 Å, c = 6.279 Å
α = 90.00°, β = 90.00°, γ = 90.00°
Sites, in units of the cell vectors:
1 Sr 0.175 0.325 0.000
2 Sr 0.325 0.825 0.000
3 Sr 0.675 0.175 0.000
4 Sr 0.825 0.675 0.000
5 Y 0.164 0.664 0.500
6 Y 0.336 0.164 0.500
7 Y 0.664 0.836 0.500
8 Y 0.836 0.336 0.500
9 Pt 0.000 0.000 0.500
10 Pt 0.500 0.500 0.500

5.
The following is a DFT calculation (GGA-PBE) of crystalline SrY2Pt at its relaxed geometry.

Values from the calculation:
- Crystal system: cubic
- Formation energy from the elements: -0.66 eV per formula unit
- Electronic total energy: -21.31 eV per cell
- SG: Fm-3m, No. 225

a = 5.276 Å, b = 5.276 Å, c = 5.276 Å
α = 60.00°, β = 60.00°, γ = 60.00°
Sites, in units of the cell vectors:
1 Sr 0.000 0.000 0.000
2 Y 0.250 0.250 0.250
3 Y 0.750 0.750 0.750
4 Pt 0.500 0.500 0.500

6.
The following is a DFT calculation (GGA-PBE) of crystalline SrY2Pt at its relaxed geometry.

Values from the calculation:
- Crystal system: tetragonal
- Formation energy from the elements: -1.51 eV per formula unit
- Electronic total energy: -44.32 eV per cell
- SG: I-42d, No. 122

a = 7.122 Å, b = 7.122 Å, c = 7.122 Å
α = 102.52°, β = 102.52°, γ = 124.50°
Sites, in units of the cell vectors:
1 Sr 0.000 0.000 0.000
2 Sr 0.750 0.250 0.500
3 Y 0.213 0.125 0.588
4 Y 0.375 0.787 0.912
5 Y 0.537 0.625 0.412
6 Y 0.875 0.463 0.088
7 Pt 0.250 0.750 0.500
8 Pt 0.500 0.500 0.000

7.
The following is a DFT calculation (GGA-PBE) of crystalline SrY2Pt at its relaxed geometry.

Values from the calculation:
- Crystal system: tetragonal
- Formation energy from the elements: -0.38 eV per formula unit
- Electronic total energy: -21.03 eV per cell
- SG: I4/mmm, No. 139

a = 6.277 Å, b = 6.277 Å, c = 6.277 Å
α = 137.65°, β = 137.65°, γ = 61.44°
Sites, in units of the cell vectors:
1 Sr 0.000 0.000 0.000
2 Y 0.250 0.750 0.500
3 Y 0.750 0.250 0.500
4 Pt 0.500 0.500 0.000

8.
The following is a DFT calculation (GGA-PBE) of crystalline Sr3YPt at its relaxed geometry.

Values from the calculation:
- Crystal system: cubic
- Formation energy from the elements: 5.71 eV per formula unit
- Electronic total energy: -11.84 eV per cell
- SG: Pm-3m, No. 221

a = 6.214 Å, b = 6.214 Å, c = 6.214 Å
α = 90.00°, β = 90.00°, γ = 90.00°
Sites, in units of the cell vectors:
1 Sr 0.000 0.000 0.500
2 Sr 0.000 0.500 0.000
3 Sr 0.500 0.000 0.000
4 Y 0.000 0.000 0.000
5 Pt 0.500 0.500 0.500

9.
The following is a DFT calculation (GGA-PBE) of crystalline Sr2YPt at its relaxed geometry.

Values from the calculation:
- Crystal system: cubic
- Formation energy from the elements: 0.35 eV per formula unit
- Electronic total energy: -15.52 eV per cell
- SG: Fm-3m, No. 225

a = 5.536 Å, b = 5.536 Å, c = 5.536 Å
α = 60.00°, β = 60.00°, γ = 60.00°
Sites, in units of the cell vectors:
1 Sr 0.250 0.250 0.250
2 Sr 0.750 0.750 0.750
3 Y 0.000 0.000 0.000
4 Pt 0.500 0.500 0.500

10.
The following is a DFT calculation (GGA-PBE) of crystalline SrY2Pt at its relaxed geometry.

Values from the calculation:
- Crystal system: monoclinic
- Formation energy from the elements: -1.89 eV per formula unit
- Electronic total energy: -22.54 eV per cell
- SG: Cm, No. 8

a = 6.345 Å, b = 6.345 Å, c = 6.593 Å
α = 119.96°, β = 119.96°, γ = 35.13°
Sites, in units of the cell vectors:
1 Sr 0.000 0.000 0.000
2 Y 0.630 0.630 0.626
3 Y 0.821 0.821 0.326
4 Pt 0.276 0.276 0.985

11.
The following is a DFT calculation (GGA-PBE) of crystalline Sr2YPt at its relaxed geometry.

Values from the calculation:
- Crystal system: monoclinic
- Formation energy from the elements: -0.65 eV per formula unit
- Electronic total energy: -16.52 eV per cell
- SG: P2/m, No. 10

a = 4.493 Å, b = 4.363 Å, c = 6.802 Å
α = 90.00°, β = 101.22°, γ = 90.00°
Sites, in units of the cell vectors:
1 Sr 0.108 0.000 0.289
2 Sr 0.892 0.000 0.711
3 Y 0.500 0.500 0.000
4 Pt 0.500 0.500 0.500

12.
The following is a DFT calculation (GGA-PBE) of crystalline Sr3YPt at its relaxed geometry.

Values from the calculation:
- Crystal system: cubic
- Formation energy from the elements: -0.94 eV per formula unit
- Electronic total energy: -18.49 eV per cell
- SG: Pm-3m, No. 221

a = 5.915 Å, b = 5.915 Å, c = 5.915 Å
α = 90.00°, β = 90.00°, γ = 90.00°
Sites, in units of the cell vectors:
1 Sr 0.000 0.000 0.500
2 Sr 0.000 0.500 0.000
3 Sr 0.500 0.000 0.000
4 Y 0.500 0.500 0.500
5 Pt 0.000 0.000 0.000

13.
The following is a DFT calculation (GGA-PBE) of crystalline SrY2Pt at its relaxed geometry.

Values from the calculation:
- Crystal system: tetragonal
- Formation energy from the elements: -2.04 eV per formula unit
- Electronic total energy: -22.69 eV per cell
- SG: P4/mmm, No. 123

a = 3.590 Å, b = 3.590 Å, c = 9.712 Å
α = 90.00°, β = 90.00°, γ = 90.00°
Sites, in units of the cell vectors:
1 Sr 0.000 0.000 0.000
2 Y 0.500 0.500 0.332
3 Y 0.500 0.500 0.668
4 Pt 0.000 0.000 0.500

14.
The following is a DFT calculation (GGA-PBE) of crystalline Sr2YPt at its relaxed geometry.

Values from the calculation:
- Crystal system: trigonal
- Formation energy from the elements: -0.88 eV per formula unit
- Electronic total energy: -16.74 eV per cell
- SG: R-3m, No. 166

a = 10.694 Å, b = 10.694 Å, c = 10.694 Å
α = 21.75°, β = 21.75°, γ = 21.75°
Sites, in units of the cell vectors:
1 Sr 0.226 0.226 0.226
2 Sr 0.774 0.774 0.774
3 Y 0.000 0.000 0.000
4 Pt 0.500 0.500 0.500

15.
The following is a DFT calculation (GGA-PBE) of crystalline SrYPt10 at its relaxed geometry.

Values from the calculation:
- Crystal system: orthorhombic
- Formation energy from the elements: -7.47 eV per formula unit
- Electronic total energy: -76.02 eV per cell
- SG: Pmmm, No. 47

a = 4.430 Å, b = 5.442 Å, c = 9.365 Å
α = 90.00°, β = 90.00°, γ = 90.00°
Sites, in units of the cell vectors:
1 Sr 0.000 0.000 0.000
2 Y 0.000 0.500 0.500
3 Pt 0.000 0.000 0.338
4 Pt 0.000 0.000 0.662
5 Pt 0.000 0.500 0.173
6 Pt 0.000 0.500 0.827
7 Pt 0.500 0.000 0.500
8 Pt 0.500 0.252 0.255
9 Pt 0.500 0.252 0.745
10 Pt 0.500 0.500 0.000
11 Pt 0.500 0.748 0.255
12 Pt 0.500 0.748 0.745

16.
The following is a DFT calculation (GGA-PBE) of crystalline SrY2Pt at its relaxed geometry.

Values from the calculation:
- Crystal system: monoclinic
- Formation energy from the elements: -0.09 eV per formula unit
- Electronic total energy: -20.74 eV per cell
- SG: C2/m, No. 12

a = 6.408 Å, b = 6.408 Å, c = 3.566 Å
α = 104.00°, β = 104.00°, γ = 119.59°
Sites, in units of the cell vectors:
1 Sr 0.000 0.000 0.000
2 Y 0.000 0.500 0.500
3 Y 0.500 0.000 0.500
4 Pt 0.500 0.500 0.000

17.
The following is a DFT calculation (GGA-PBE) of crystalline Sr4YPt at its relaxed geometry.

Values from the calculation:
- Crystal system: cubic
- Formation energy from the elements: 3.93 eV per formula unit
- Electronic total energy: -15.31 eV per cell
- SG: F-43m, No. 216

a = 6.958 Å, b = 6.958 Å, c = 6.958 Å
α = 60.00°, β = 60.00°, γ = 60.00°
Sites, in units of the cell vectors:
1 Sr 0.125 0.125 0.125
2 Sr 0.125 0.125 0.625
3 Sr 0.125 0.625 0.125
4 Sr 0.625 0.125 0.125
5 Y 0.750 0.750 0.750
6 Pt 0.500 0.500 0.500

18.
The following is a DFT calculation (GGA-PBE) of crystalline Sr2YPt at its relaxed geometry.

Values from the calculation:
- Crystal system: tetragonal
- Formation energy from the elements: -0.02 eV per formula unit
- Electronic total energy: -15.89 eV per cell
- SG: I-4m2, No. 119

a = 6.333 Å, b = 6.333 Å, c = 6.333 Å
α = 135.91°, β = 135.91°, γ = 64.12°
Sites, in units of the cell vectors:
1 Sr 0.000 0.000 0.000
2 Sr 0.750 0.250 0.500
3 Y 0.250 0.750 0.500
4 Pt 0.500 0.500 0.000

19.
The following is a DFT calculation (GGA-PBE) of crystalline Sr2YPt2 at its relaxed geometry.

Values from the calculation:
- Crystal system: tetragonal
- Formation energy from the elements: -3.93 eV per formula unit
- Electronic total energy: -51.68 eV per cell
- SG: P4/mbm, No. 127

a = 7.640 Å, b = 7.640 Å, c = 4.696 Å
α = 90.00°, β = 90.00°, γ = 90.00°
Sites, in units of the cell vectors:
1 Sr 0.168 0.332 0.000
2 Sr 0.332 0.832 0.000
3 Sr 0.668 0.168 0.000
4 Sr 0.832 0.668 0.000
5 Y 0.000 0.000 0.500
6 Y 0.500 0.500 0.500
7 Pt 0.131 0.631 0.500
8 Pt 0.369 0.131 0.500
9 Pt 0.631 0.869 0.500
10 Pt 0.869 0.369 0.500

20.
The following is a DFT calculation (GGA-PBE) of crystalline Sr2YPt at its relaxed geometry.

Values from the calculation:
- Crystal system: orthorhombic
- Formation energy from the elements: -1.79 eV per formula unit
- Electronic total energy: -17.66 eV per cell
- SG: Immm, No. 71

a = 9.419 Å, b = 9.419 Å, c = 9.419 Å
α = 157.08°, β = 153.05°, γ = 35.66°
Sites, in units of the cell vectors:
1 Sr 0.158 0.158 0.000
2 Sr 0.842 0.842 0.000
3 Y 0.500 0.000 0.500
4 Pt 0.000 0.500 0.500

21.
The following is a DFT calculation (GGA-PBE) of crystalline Sr2YPt at its relaxed geometry.

Values from the calculation:
- Crystal system: tetragonal
- Formation energy from the elements: -0.39 eV per formula unit
- Electronic total energy: -16.26 eV per cell
- SG: P4/mmm, No. 123

a = 4.644 Å, b = 4.644 Å, c = 5.475 Å
α = 90.00°, β = 90.00°, γ = 90.00°
Sites, in units of the cell vectors:
1 Sr 0.000 0.500 0.000
2 Sr 0.500 0.000 0.000
3 Y 0.000 0.000 0.500
4 Pt 0.500 0.500 0.500

22.
The following is a DFT calculation (GGA-PBE) of crystalline Sr2YPt at its relaxed geometry.

Values from the calculation:
- Crystal system: tetragonal
- Formation energy from the elements: -1.15 eV per formula unit
- Electronic total energy: -34.05 eV per cell
- SG: I-42d, No. 122

a = 8.199 Å, b = 8.199 Å, c = 8.199 Å
α = 96.39°, β = 96.39°, γ = 141.02°
Sites, in units of the cell vectors:
1 Sr 0.375 0.238 0.363
2 Sr 0.762 0.125 0.137
3 Sr 0.875 0.012 0.637
4 Sr 0.988 0.625 0.863
5 Y 0.250 0.750 0.500
6 Y 0.500 0.500 0.000
7 Pt 0.000 0.000 0.000
8 Pt 0.750 0.250 0.500

23.
The following is a DFT calculation (GGA-PBE) of crystalline SrY2Pt at its relaxed geometry.

Values from the calculation:
- Crystal system: monoclinic
- Formation energy from the elements: -2.03 eV per formula unit
- Electronic total energy: -22.68 eV per cell
- SG: Pm, No. 6

a = 4.138 Å, b = 3.900 Å, c = 8.440 Å
α = 90.00°, β = 104.15°, γ = 90.00°
Sites, in units of the cell vectors:
1 Sr 0.000 0.000 0.000
2 Y 0.332 0.500 0.664
3 Y 0.696 0.000 0.389
4 Pt 0.163 0.500 0.322

24.
The following is a DFT calculation (GGA-PBE) of crystalline SrY2Pt at its relaxed geometry.

Values from the calculation:
- Crystal system: cubic
- Formation energy from the elements: -0.16 eV per formula unit
- Electronic total energy: -20.81 eV per cell
- SG: F-43m, No. 216

a = 5.357 Å, b = 5.357 Å, c = 5.357 Å
α = 60.00°, β = 60.00°, γ = 60.00°
Sites, in units of the cell vectors:
1 Sr 0.000 0.000 0.000
2 Y 0.250 0.250 0.250
3 Y 0.500 0.500 0.500
4 Pt 0.750 0.750 0.750

25.
The following is a DFT calculation (GGA-PBE) of crystalline Sr2YPt at its relaxed geometry.

Values from the calculation:
- Crystal system: orthorhombic
- Formation energy from the elements: -1.71 eV per formula unit
- Electronic total energy: -17.58 eV per cell
- SG: Imm2, No. 44

a = 7.087 Å, b = 7.087 Å, c = 7.087 Å
α = 148.86°, β = 130.77°, γ = 59.41°
Sites, in units of the cell vectors:
1 Sr 0.000 0.000 0.000
2 Sr 0.684 0.184 0.500
3 Y 0.323 0.823 0.500
4 Pt 0.483 0.483 0.000

26.
The following is a DFT calculation (GGA-PBE) of crystalline SrY2Pt at its relaxed geometry.

Values from the calculation:
- Crystal system: orthorhombic
- Formation energy from the elements: -0.68 eV per formula unit
- Electronic total energy: -21.33 eV per cell
- SG: Cmmm, No. 65

a = 4.932 Å, b = 4.932 Å, c = 4.455 Å
α = 90.00°, β = 90.00°, γ = 90.07°
Sites, in units of the cell vectors:
1 Sr 0.000 0.000 0.000
2 Y 0.000 0.500 0.500
3 Y 0.500 0.000 0.500
4 Pt 0.500 0.500 0.000

27.
The following is a DFT calculation (GGA-PBE) of crystalline SrY2Pt9 at its relaxed geometry.

Values from the calculation:
- Crystal system: trigonal
- Formation energy from the elements: -10.45 eV per formula unit
- Electronic total energy: -79.43 eV per cell
- SG: R-3m, No. 166

a = 9.359 Å, b = 9.359 Å, c = 9.359 Å
α = 34.03°, β = 34.03°, γ = 34.03°
Sites, in units of the cell vectors:
1 Sr 0.000 0.000 0.000
2 Y 0.140 0.140 0.140
3 Y 0.860 0.860 0.860
4 Pt 0.081 0.588 0.588
5 Pt 0.332 0.332 0.332
6 Pt 0.412 0.412 0.919
7 Pt 0.412 0.919 0.412
8 Pt 0.500 0.500 0.500
9 Pt 0.588 0.081 0.588
10 Pt 0.588 0.588 0.081
11 Pt 0.668 0.668 0.668
12 Pt 0.919 0.412 0.412

28.
The following is a DFT calculation (GGA-PBE) of crystalline Sr3YPt8 at its relaxed geometry.

Values from the calculation:
- Crystal system: trigonal
- Formation energy from the elements: -10.95 eV per formula unit
- Electronic total energy: -70.79 eV per cell
- SG: R3m, No. 160

a = 9.576 Å, b = 9.576 Å, c = 9.576 Å
α = 33.68°, β = 33.68°, γ = 33.68°
Sites, in units of the cell vectors:
1 Sr 0.000 0.000 0.000
2 Sr 0.124 0.124 0.124
3 Sr 0.627 0.627 0.627
4 Y 0.501 0.501 0.501
5 Pt 0.063 0.063 0.558
6 Pt 0.063 0.558 0.063
7 Pt 0.069 0.564 0.564
8 Pt 0.313 0.313 0.313
9 Pt 0.558 0.063 0.063
10 Pt 0.564 0.069 0.564
11 Pt 0.564 0.564 0.069
12 Pt 0.813 0.813 0.813